# 1
DFT (SCAN) results for a PBEsol-optimized structure of TaAlCd.

Computed properties:
Final energy ... -34.719 eV/atom
Space-group type ... No. 44
E_form ... 197 meV/atom
D(E_F) ... 3.292 states/eV per cell
V ... 105.9 Å³ per cell

abc: 2.8402 3.6111 10.3283
angles: 90.00 90.00 90.00
Positions (direct):
1 Ta 0.0000 0.0000 0.0000
2 Ta 0.5000 0.5000 0.5000
3 Al 0.0000 0.0000 0.6469
4 Al 0.5000 0.5000 0.1469
5 Cd 0.0000 0.0000 0.3137
6 Cd 0.5000 0.5000 0.8137

***

# 2
DFT (SCAN) results for a PBEsol-optimized structure of Te2PO.

Computed properties:
ΔE_f (raw) ... 0.418 eV per atom
Final energy ... -22.365 eV/atom
Space-group type ... No. 166
D(E_F) ... 5.482 states/eV per cell
V ... 224.6 Å³ per cell

abc: 3.1039 3.1039 26.9192
angles: 90.00 90.00 120.00
Positions (direct):
1 Te 0.0000 0.0000 0.0996
2 Te 0.0000 0.0000 0.9004
3 Te 0.3333 0.6667 0.5670
4 Te 0.3333 0.6667 0.7663
5 Te 0.6667 0.3333 0.2337
6 Te 0.6667 0.3333 0.4330
7 P 0.0000 0.0000 0.0000
8 P 0.3333 0.6667 0.6667
9 P 0.6667 0.3333 0.3333
10 O 0.0000 0.0000 0.5000
11 O 0.3333 0.6667 0.1667
12 O 0.6667 0.3333 0.8333

***

# 3
DFT (SCAN) results for a PBEsol-optimized structure of NaTa2S.

Computed properties:
ΔE_f (raw) ... 0.502 eV per atom
Final energy ... -36.251 eV/atom
Space-group type ... No. 122
D(E_F) ... 11.596 states/eV per cell
V ... 286.3 Å³ per cell

abc: 3.8132 3.8132 19.6920
angles: 90.00 90.00 90.00
Positions (direct):
1 Na 0.0000 0.0000 0.0000
2 Na 0.0000 0.5000 0.2500
3 Na 0.5000 0.0000 0.7500
4 Na 0.5000 0.5000 0.5000
5 Ta 0.2341 0.7500 0.6250
6 Ta 0.2500 0.2341 0.3750
7 Ta 0.2500 0.2659 0.8750
8 Ta 0.2659 0.7500 0.1250
9 Ta 0.7341 0.2500 0.1250
10 Ta 0.7500 0.7341 0.8750
11 Ta 0.7500 0.7659 0.3750
12 Ta 0.7659 0.2500 0.6250
13 S 0.0000 0.0000 0.5000
14 S 0.0000 0.5000 0.7500
15 S 0.5000 0.0000 0.2500
16 S 0.5000 0.5000 0.0000